Entry from Alexandria via LeMat-Bulk: crystalline OsI2Cl8 at its relaxed geometry (PBE).

Cell lengths 15.8165, 7.1309, 7.4955 Å; angles 90.00, 110.43, 90.00 degrees
Space group C2/m (No. 12)
Symmetry-distinct sites (fractional):
Os 0.0000 0.0000 0.0000 x2
I 0.2497 0.0000 0.4627 x4
Cl 0.0653 0.0000 0.3371 x4
Cl 0.0899 0.5000 0.4284 x4
Cl 0.0998 0.2267 0.9821 x8

Results
Electronic total energy   -2.922 eV/atom
Size of the total moment   0.25 μB per atom
Uncorrected formation energy   -0.2762 eV per atom